Record 1
# Nd2Ni4Sb3As

An optimized crystal structure of Nd2Ni4Sb3As (PBE-GGA, Alexandria via LeMat-Bulk).

Unit cell a=4.4257 b=4.4257 c=9.8796 alpha=90.00 beta=90.00 gamma=90.00
With the nearest neighbours (Å) after each atom.
Atoms (fractional coordinates):
Nd 0.0000 0.5000 0.2492  9 Ni 3.31-3.61, 6 Sb 3.32-3.34, 2 As 3.32
Nd 0.5000 0.0000 0.7508  9 Ni 3.31-3.61, 6 Sb 3.32-3.34, 2 As 3.32
Ni 0.0000 0.0000 0.0000  4 Sb 2.56
Ni 0.0000 0.5000 0.6150  3 Sb 2.49-2.52, 2 As 2.49
Ni 0.5000 0.0000 0.3850  3 Sb 2.49-2.52, 2 As 2.49
Ni 0.5000 0.5000 0.0000  4 Sb 2.56
Sb 0.0000 0.5000 0.8703  5 Ni 2.52-2.56
Sb 0.5000 0.0000 0.1297  5 Ni 2.52-2.56
Sb 0.5000 0.5000 0.5000  4 Ni 2.49
As 0.0000 0.0000 0.5000  4 Ni 2.49

Output
E_tot = -5.649 eV per atom
DOS at the Fermi energy = 4.00 states/eV/cell

=====

Record 2
# SrZrAg

An optimized crystal structure of SrZrAg (PBE-GGA, Alexandria via LeMat-Bulk).

Unit cell a=4.7274 b=4.7274 c=4.7537 alpha=90.00 beta=90.00 gamma=120.00
With the nearest neighbours (Å) after each atom.
Atoms (fractional coordinates):
Sr 0.0000 0.0000 0.0000  6 Zr 3.62, 6 Ag 3.62
Zr 0.6667 0.3333 0.5000  3 Ag 2.73
Ag 0.3333 0.6667 0.5000  3 Zr 2.73

Output
ΔH_f (0 K) = 0.388 eV per atom
E_tot = -3.972 eV per atom
DOS at the Fermi energy = 2.93 states/eV/cell